(1)
First-principles (PBE) data for a relaxed structure of PrScNi, as listed in Alexandria.

## Properties
distance to the lowest polymorph of the same formula: 0.644 eV per formula unit
size of the total moment: 0.00 μB/cell
calculated density: 5.71 g/cm3
crystal system: trigonal

Geometry as extended XYZ:
```
3
Lattice="4.347 0.000 0.000 -2.173 3.765 0.000 0.000 0.000 4.346" Properties=species:S:1:pos:R:3 pbc="T T T"
Pr 0.000 0.000 0.000
Sc 2.174 1.255 2.165
Ni 0.000 2.510 2.618
```



(2)
First-principles (PBE) data for a relaxed structure of PrScNi4, as listed in Alexandria.

## Properties
size of the total moment: 0.00 μB/cell
calculated density: 7.66 g/cm3
crystal system: cubic
energy: -36.47 eV/cell

Geometry as extended XYZ:
```
6
Lattice="0.000 3.572 3.572 3.572 0.000 3.572 3.572 3.572 0.000" Properties=species:S:1:pos:R:3 pbc="T T T"
Pr 0.000 0.000 0.000
Sc 5.358 5.358 5.358
Ni 2.688 2.688 2.688
Ni 4.456 4.456 2.688
Ni 4.456 2.688 4.456
Ni 2.688 4.456 4.456
```



(3)
First-principles (PBE) data for a relaxed structure of Pr2ScNi, as listed in Alexandria.

## Properties
distance to the lowest polymorph of the same formula: 1.050 eV per formula unit
size of the total moment: 0.00 μB/cell
calculated density: 5.52 g/cm3
crystal system: trigonal

Geometry as extended XYZ:
```
4
Lattice="1.802 1.041 10.310 -1.802 1.041 10.310 0.000 -2.081 10.310" Properties=species:S:1:pos:R:3 pbc="T T T"
Pr 0.000 0.000 3.303
Pr 0.000 0.000 27.628
Sc 0.000 0.000 0.000
Ni 0.000 0.000 15.466
```



(4)
First-principles (PBE) data for a relaxed structure of Pr2ScSi3Ni12, as listed in Alexandria.

## Properties
size of the total moment: 0.00 μB/cell
formation energy (no corrections): -16.4 kJ/mol of atoms
calculated density: 7.29 g/cm3
crystal system: trigonal

Geometry as extended XYZ:
```
18
Lattice="4.297 2.481 3.972 -4.297 2.481 3.972 0.000 -4.961 3.972" Properties=species:S:1:pos:R:3 pbc="T T T"
Pr 0.000 0.000 1.772
Pr 0.000 0.000 10.146
Sc 0.000 0.000 5.959
Si -2.148 -1.240 3.972
Si -2.148 1.240 7.945
Si 0.000 2.481 3.972
Ni 0.000 -2.321 3.297
Ni -2.010 1.160 3.297
Ni -2.096 -1.210 6.256
Ni 0.000 -2.420 5.661
Ni -2.096 1.210 5.661
Ni -2.010 -1.160 8.620
Ni 2.010 1.160 3.297
Ni 2.096 -1.210 6.256
Ni 0.000 2.420 6.256
Ni 2.096 1.210 5.661
Ni 2.010 -1.160 8.620
Ni 0.000 2.321 8.620
```



(5)
First-principles (PBE) data for a relaxed structure of PrScZnNi, as listed in Alexandria.

## Properties
size of the total moment: 0.00 μB/cell
calculated density: 6.22 g/cm3
crystal system: cubic
energy: -19.16 eV/cell

Geometry as extended XYZ:
```
4
Lattice="0.000 3.458 3.458 3.458 0.000 3.458 3.458 3.458 0.000" Properties=species:S:1:pos:R:3 pbc="T T T"
Pr 0.000 0.000 0.000
Sc 3.458 3.458 3.458
Zn 1.729 1.729 1.729
Ni 5.187 5.187 5.187
```



(6)
First-principles (PBE) data for a relaxed structure of PrNiSe2, as listed in Alexandria.

## Properties
size of the total moment: 0.00 μB/cell
formation energy (no corrections): -34.7 kJ/mol of atoms
calculated density: 6.12 g/cm3
crystal system: trigonal

Geometry as extended XYZ:
```
4
Lattice="1.828 1.056 8.378 -1.828 1.056 8.378 0.000 -2.111 8.378" Properties=species:S:1:pos:R:3 pbc="T T T"
Pr 0.000 0.000 0.000
Ni 0.000 0.000 12.567
Se 0.000 0.000 2.940
Se 0.000 0.000 22.193
```



(7)
First-principles (PBE) data for a relaxed structure of Pr3Ni5Se12, as listed in Alexandria.

## Properties
size of the total moment: 0.00 μB/cell
formation energy (no corrections): -70.9 kJ/mol of atoms
calculated density: 5.99 g/cm3
crystal system: cubic

Geometry as extended XYZ:
```
80
Lattice="-7.727 7.727 7.727 7.727 -7.727 7.727 7.727 7.727 -7.727" Properties=species:S:1:pos:R:3 pbc="T T T"
Pr 3.863 1.932 0.000
Pr 7.727 3.863 -1.932
Pr 1.932 0.000 3.863
Pr 9.659 0.000 3.863
Pr 0.000 3.863 1.932
Pr 3.863 -1.932 7.727
Pr 3.863 9.659 0.000
Pr 7.727 3.863 5.795
Pr -1.932 7.727 3.863
Pr 5.795 7.727 3.863
Pr 0.000 3.863 9.659
Pr 3.863 5.795 7.727
Ni 0.000 0.000 0.000
Ni 3.863 3.863 -3.863
Ni 3.863 -3.863 3.863
Ni 7.727 0.000 0.000
Ni 11.590 1.932 0.000
Ni 7.727 -3.863 5.795
Ni 5.795 7.727 -3.863
Ni 5.795 0.000 3.863
Ni 3.863 5.795 0.000
Ni 7.727 3.863 1.932
Ni -3.863 3.863 3.863
Ni 0.000 7.727 0.000
Ni 0.000 0.000 7.727
Ni 3.863 3.863 3.863
Ni 0.000 3.863 5.795
Ni 3.863 1.932 7.727
Ni 1.932 7.727 3.863
Ni 1.932 0.000 11.590
Ni 0.000 11.590 1.932
Ni -3.863 5.795 7.727
Se 2.242 -0.497 0.826
Se 9.348 4.689 -4.361
Se 9.969 0.497 0.826
Se 9.348 -3.038 4.361
Se 7.229 -0.826 2.242
Se 12.088 -1.621 3.038
Se 0.826 2.242 -0.497
Se 10.764 3.366 -1.621
Se 4.689 4.361 -1.621
Se 6.901 2.242 0.497
Se -0.497 0.826 2.242
Se 4.361 -1.621 4.689
Se 7.229 6.901 -2.242
Se 4.361 1.621 3.038
Se 4.689 -4.361 9.348
Se 6.901 -2.242 7.229
Se 3.038 4.361 1.621
Se 8.553 5.485 0.497
Se 4.361 9.348 -3.038
Se 7.229 0.826 5.485
Se 2.242 7.229 -0.826
Se 9.348 3.038 3.366
Se 1.621 3.038 4.361
Se 2.242 0.497 6.901
Se 5.485 7.229 0.826
Se 6.105 4.689 3.366
Se -1.621 4.689 4.361
Se 5.485 0.497 8.553
Se 0.497 6.901 2.242
Se 3.366 -1.621 10.764
Se -0.826 2.242 7.229
Se 4.689 3.366 6.105
Se 0.826 9.969 0.497
Se 3.038 12.088 -1.621
Se 3.366 6.105 4.689
Se 0.497 0.826 9.969
Se 3.366 9.348 3.038
Se 8.224 6.901 5.485
Se 0.826 5.485 7.229
Se 3.038 3.366 9.348
Se -3.038 4.361 9.348
Se 6.901 5.485 8.224
Se -4.361 9.348 4.689
Se 0.497 8.553 5.485
Se -1.621 10.764 3.366
Se -2.242 7.229 6.901
Se -1.621 3.038 12.088
Se 5.485 8.224 6.901
```



(8)
First-principles (PBE) data for a relaxed structure of Pr2Ni2Se, as listed in Alexandria.

## Properties
size of the total moment: 0.19 μB/cell
formation energy (no corrections): -89.7 kJ/mol of atoms
calculated density: 7.00 g/cm3
crystal system: trigonal

Geometry as extended XYZ:
```
5
Lattice="2.041 1.178 7.857 -2.041 1.178 7.857 0.000 -2.356 7.857" Properties=species:S:1:pos:R:3 pbc="T T T"
Pr 0.000 0.000 1.954
Pr 0.000 0.000 21.618
Ni 0.000 0.000 7.815
Ni 0.000 0.000 15.757
Se 0.000 0.000 11.786
```



(9)
First-principles (PBE) data for a relaxed structure of Pr4NiSe3, as listed in Alexandria.

## Properties
size of the total moment: 0.00 μB/cell
formation energy (no corrections): -138.5 kJ/mol of atoms
calculated density: 6.58 g/cm3
crystal system: monoclinic

Geometry as extended XYZ:
```
16
Lattice="7.444 0.000 0.000 0.000 8.517 0.000 -2.370 0.000 6.843" Properties=species:S:1:pos:R:3 pbc="T T T"
Pr 1.716 1.006 0.048
Pr 0.531 7.511 3.469
Pr 0.640 3.113 3.370
Pr -0.545 5.403 6.791
Pr 5.618 3.113 0.052
Pr 4.433 5.403 3.473
Pr 4.542 1.006 3.374
Pr 3.357 7.511 6.795
Ni -0.593 1.065 1.711
Ni -1.778 7.451 5.132
Se -1.778 3.205 5.132
Se -0.593 5.312 1.711
Se 1.944 1.078 5.132
Se 3.129 3.235 1.711
Se 1.944 5.281 5.132
Se 3.129 7.439 1.711
```



(10)
First-principles (PBE) data for a relaxed structure of Pr5NiSe4, as listed in Alexandria.

## Properties
size of the total moment: 0.00 μB/cell
formation energy (no corrections): -146.8 kJ/mol of atoms
calculated density: 6.61 g/cm3
crystal system: tetragonal

Geometry as extended XYZ:
```
10
Lattice="-4.734 4.734 3.023 4.734 -4.734 3.023 4.734 4.734 -3.023" Properties=species:S:1:pos:R:3 pbc="T T T"
Pr 0.000 0.000 0.000
Pr 5.658 2.015 0.000
Pr 2.015 3.810 0.000
Pr 2.719 0.924 3.023
Pr -0.924 2.719 3.023
Ni 0.000 0.000 3.023
Se 2.879 0.890 0.000
Se 3.844 -1.855 3.023
Se 0.890 6.589 0.000
Se 1.855 3.844 3.023
```



- Which value of calculated density does entry 5 give?
  6.22 g/cm3



- The highest size of the total moment belongs to which entry?
  Pr2Ni2Se